Entry from Alexandria via LeMat-Bulk: a relaxed structure of ScBeV3 (PBE).

Lattice parameters (Å, degrees): 4.346 4.346 4.346 90.00 90.00 90.00
Sites, in units of the cell vectors:
Sc (0.000, 0.000, 0.000)
Be (0.500, 0.500, 0.500)
V (0.000, 0.000, 0.500)
V (0.000, 0.500, 0.000)
V (0.500, 0.000, 0.000)

The calculation puts the formation energy at 1.878 eV/atom. As for the relative energy among the computed polymorphs: 1.288 eV/atom.

Entry from Alexandria via LeMat-Bulk: a relaxed structure of ScBe9V2 (PBE).

Lattice parameters (Å, degrees): 7.467 7.467 7.467 34.54 34.54 34.54
Sites, in units of the cell vectors:
Sc (0.000, 0.000, 0.000)
Be (0.079, 0.588, 0.588)
Be (0.335, 0.335, 0.335)
Be (0.412, 0.412, 0.921)
Be (0.412, 0.921, 0.412)
Be (0.500, 0.500, 0.500)
Be (0.588, 0.079, 0.588)
Be (0.588, 0.588, 0.079)
Be (0.665, 0.665, 0.665)
Be (0.921, 0.412, 0.412)
V (0.146, 0.146, 0.146)
V (0.854, 0.854, 0.854)

The calculation puts the formation energy at -0.211 eV/atom.

Entry from Alexandria via LeMat-Bulk: a relaxed structure of Sc2BeV (PBE).

Lattice parameters (Å, degrees): 9.798 9.798 9.798 157.25 157.25 32.39
Sites, in units of the cell vectors:
Sc (0.119, 0.625, 0.994)
Sc (0.375, 0.369, 0.494)
Sc (0.631, 0.125, 0.006)
Sc (0.875, 0.881, 0.506)
Be (0.000, 0.000, 0.000)
Be (0.750, 0.250, 0.500)
V (0.250, 0.750, 0.500)
V (0.500, 0.500, 0.000)

The calculation puts the formation energy at 0.711 eV/atom.

Entry from Alexandria via LeMat-Bulk: a relaxed structure of Sc3BeV (PBE).

Lattice parameters (Å, degrees): 4.802 4.802 4.802 90.00 90.00 90.00
Sites, in units of the cell vectors:
Sc (0.000, 0.000, 0.500)
Sc (0.000, 0.500, 0.000)
Sc (0.500, 0.000, 0.000)
Be (0.000, 0.000, 0.000)
V (0.500, 0.500, 0.500)

The calculation puts the formation energy at 0.585 eV/atom.